Computed, not measured: a geometry-optimized Tb2Ce2Tl3 structure at the PBE-GGA level of DFT.

a b c (Å): 8.886 8.886 8.886
angles (deg): 146.06 146.03 48.78
Sites, in units of the cell vectors:
Tb: 0.118 0.118 0.000
Tb: 0.882 0.882 0.000
Ce: 0.377 0.377 0.000
Ce: 0.623 0.623 0.000
Tl: 0.246 0.746 0.500
Tl: 0.500 0.000 0.500
Tl: 0.754 0.254 0.500

Computed properties:
Energy of formation from the pure elements, eV/atom: -0.122
Energy relative to the lowest polymorph listed for this composition, meV/atom: 105



Computed, not measured: a geometry-optimized Mg3Au structure at the PBE-GGA level of DFT.

a b c (Å): 5.187 5.187 5.187
angles (deg): 90.00 90.00 90.00
Sites, in units of the cell vectors:
Mg: 0.000 0.000 0.500
Mg: 0.000 0.500 0.000
Mg: 0.500 0.000 0.000
Au: 0.000 0.000 0.000

Computed properties:
Energy of formation from the pure elements, eV/atom: -0.069
Energy relative to the lowest polymorph listed for this composition, meV/atom: 347



Computed, not measured: a geometry-optimized LiRePb2W structure at the PBE-GGA level of DFT.

a b c (Å): 4.718 4.718 4.293
angles (deg): 90.00 90.00 90.00
Sites, in units of the cell vectors:
Li: 0.000 0.000 0.000
Re: 0.000 0.000 0.500
Pb: 0.000 0.500 0.000
Pb: 0.500 0.000 0.000
W: 0.500 0.500 0.500

Computed properties:
Energy of formation from the pure elements, eV/atom: 1.743



Computed final energy, in the same sequence as the records: -4.154, -2.084, -5.203 eV per atom.